Record 1
Computed, not measured: ZrTi2Rh2 after structural relaxation at the GGA-PBE level of DFT.

Geometry as POSCAR:
```
ZrTi2Rh2
1.0
4.1831 0.0000 0.0000
0.0000 4.1831 0.0000
0.0000 0.0000 10.3878
Zr Ti Rh
2 4 4
direct
0.0000 0.0000 0.0000
0.5000 0.5000 0.5000
0.0000 0.5000 0.2500
0.0000 0.5000 0.7500
0.5000 0.0000 0.2500
0.5000 0.0000 0.7500
0.0000 0.0000 0.3802
0.0000 0.0000 0.6198
0.5000 0.5000 0.1198
0.5000 0.5000 0.8802
```

Summary:
Distance to the lowest polymorph of the same formula ... 0.32 eV/f.u.
Energy of formation from the pure elements ... -2.483 eV/f.u.
Total energy ... -41.52 eV/f.u.

Record 2
Computed, not measured: ZrTi3Rh after structural relaxation at the GGA-PBE level of DFT.

Geometry as POSCAR:
```
ZrTi3Rh
1.0
4.6681 0.0000 0.0000
0.0000 4.6681 0.0000
0.0000 0.0000 4.6681
Zr Ti Rh
1 3 1
direct
0.0000 0.0000 0.0000
0.0000 0.0000 0.5000
0.0000 0.5000 0.0000
0.5000 0.0000 0.0000
0.5000 0.5000 0.5000
```

Summary:
Distance to the lowest polymorph of the same formula ... 4.77 eV/f.u.
Energy of formation from the pure elements ... 6.174 eV/f.u.
Total energy ... -33.41 eV/f.u.